First-principles (PBE-GGA) data for crystalline As2PW at its relaxed geometry, as listed in Alexandria.

Calculated values
Its symmetry is I-42d. The formation energy is 657 meV per atom. The calculation puts the uncorrected energy at -50.07 eV for the cell shown. As for the crystal system: tetragonal.

Cell lengths 6.7815, 6.7815, 6.7815 Å; angles 129.71, 129.71, 73.87 degrees
Last column: nearest neighbours and their distance in Å.
Sites, in units of the cell vectors:
As1 0.1252 0.6250 0.0002  2 W 2.45, 2 P 2.45
As2 0.3750 0.3752 0.5002  2 W 2.45, 2 P 2.45
As3 0.6248 0.1250 0.9998  2 W 2.45, 2 P 2.45
As4 0.8750 0.8748 0.4998  2 W 2.45, 2 P 2.45
P1 0.0000 0.0000 0.0000  4 As 2.45
P2 0.7500 0.2500 0.5000  4 As 2.45
W1 0.2500 0.7500 0.5000  4 As 2.45
W2 0.5000 0.5000 0.0000  4 As 2.45

First-principles (PBE-GGA) data for crystalline La2CrPt at its relaxed geometry, as listed in Alexandria.

Calculated values
Its symmetry is R-3m. The formation energy is -155 meV per atom. The calculation puts the uncorrected energy at -26.14 eV for the cell shown. The value obtained for the offset from the most stable computed form is 185 meV per atom. As for the crystal system: trigonal.

Cell lengths 8.1194, 8.1194, 8.1194 Å; angles 29.49, 29.49, 29.49 degrees
Last column: nearest neighbours and their distance in Å.
Sites, in units of the cell vectors:
La1 0.2420 0.2420 0.2420  3 Pt 2.96, 3 Cr 3.20
La2 0.7580 0.7580 0.7580  3 Pt 2.96, 3 Cr 3.20
Cr1 0.0000 0.0000 0.0000  6 La 3.20
Pt1 0.5000 0.5000 0.5000  6 La 2.96

First-principles (PBE-GGA) data for crystalline Ce2GeBi at its relaxed geometry, as listed in Alexandria.

Calculated values
Its symmetry is R3m. The formation energy is -643 meV per atom. The calculation puts the uncorrected energy at -22.94 eV for the cell shown. The value obtained for the offset from the most stable computed form is 84 meV per atom. As for the crystal system: trigonal.

Cell lengths 7.9881, 7.9881, 7.9881 Å; angles 31.46, 31.46, 31.46 degrees
Last column: nearest neighbours and their distance in Å.
Sites, in units of the cell vectors:
Ce1 0.0000 0.0000 0.0000  3 Ge 3.03, 3 Bi 3.30
Ce2 0.1868 0.1868 0.1868  3 Ge 2.98, 3 Bi 3.26
Ge1 0.5914 0.5914 0.5914  6 Ce 2.98-3.03
Bi1 0.7614 0.7614 0.7614  6 Ce 3.26-3.30

First-principles (PBE-GGA) data for crystalline BeSnP2 at its relaxed geometry, as listed in Alexandria.

Calculated values
Its symmetry is R-3m. The formation energy is 294 meV per atom. The calculation puts the uncorrected energy at -17.37 eV for the cell shown. The value obtained for the offset from the most stable computed form is 518 meV per atom. As for the crystal system: trigonal.

Cell lengths 7.1374, 7.1374, 7.1374 Å; angles 32.52, 32.52, 32.52 degrees
Last column: nearest neighbours and their distance in Å.
Sites, in units of the cell vectors:
Be1 0.0000 0.0000 0.0000  2 P 2.00
Sn1 0.5000 0.5000 0.5000  6 P 2.69
P1 0.0987 0.0987 0.0987  1 Be 2.00
P2 0.9013 0.9013 0.9013  1 Be 2.00

First-principles (PBE-GGA) data for crystalline LiYGaAu at its relaxed geometry, as listed in Alexandria.

Calculated values
Its symmetry is F-43m. The formation energy is -616 meV per atom. The calculation puts the uncorrected energy at -17.15 eV for the cell shown. The value obtained for the offset from the most stable computed form is 0 meV per atom. As for the crystal system: cubic.

Cell lengths 4.7276, 4.7276, 4.7276 Å; angles 60.00, 60.00, 60.00 degrees
Last column: nearest neighbours and their distance in Å.
Sites, in units of the cell vectors:
Li1 0.0000 0.0000 0.0000  4 Y 2.90, 4 Ga 2.90
Y1 0.2500 0.2500 0.2500  4 Au 2.90, 4 Li 2.90
Ga1 0.7500 0.7500 0.7500  4 Li 2.90, 4 Au 2.90
Au1 0.5000 0.5000 0.5000  4 Ga 2.90, 4 Y 2.90

First-principles (PBE-GGA) data for crystalline TaN at its relaxed geometry, as listed in Alexandria.

Calculated values
Its symmetry is P6_3/mmc. The calculation puts the uncorrected energy at -44.60 eV for the cell shown. The value obtained for the formation energy without anion corrections is -1.061 eV per atom. As for the crystal system: hexagonal.

Cell lengths 2.9739, 2.9739, 5.6270 Å; angles 90.00, 90.00, 120.00 degrees
Last column: nearest neighbours and their distance in Å.
Sites, in units of the cell vectors:
Ta1 0.3333 0.6667 0.2500  6 N 2.22
Ta2 0.6667 0.3333 0.7500  6 N 2.22
N1 0.0000 0.0000 0.0000  6 Ta 2.22
N2 0.0000 0.0000 0.5000  6 Ta 2.22

First-principles (PBE-GGA) data for crystalline CaHgTe2N at its relaxed geometry, as listed in Alexandria.

Calculated values
Its symmetry is P4/mmm. The calculation puts the uncorrected energy at -14.89 eV for the cell shown. The value obtained for the offset from the most stable computed form is 0 meV per atom. The value obtained for the formation energy without anion corrections is 0.404 eV per atom. As for the crystal system: tetragonal.

Cell lengths 5.8299, 5.8299, 4.2111 Å; angles 90.00, 90.00, 90.00 degrees
Last column: nearest neighbours and their distance in Å.
Sites, in units of the cell vectors:
Ca1 0.0000 0.0000 0.0000  8 Te 3.60
Hg1 0.5000 0.5000 0.5000  2 N 2.11
Te1 0.0000 0.5000 0.5000  2 Hg 2.91
Te2 0.5000 0.0000 0.5000  2 Hg 2.91
N1 0.5000 0.5000 0.0000  2 Hg 2.11

First-principles (PBE-GGA) data for crystalline Ba3TlCl at its relaxed geometry, as listed in Alexandria.

Calculated values
Its symmetry is Pm-3m. The calculation puts the uncorrected energy at -13.68 eV for the cell shown. The value obtained for the offset from the most stable computed form is 0 meV per atom. The value obtained for the formation energy without anion corrections is -0.741 eV per atom. As for the crystal system: cubic.

Cell lengths 6.0610, 6.0610, 6.0610 Å; angles 90.00, 90.00, 90.00 degrees
Last column: nearest neighbours and their distance in Å.
Sites, in units of the cell vectors:
Ba1 0.0000 0.0000 0.5000  2 Cl 3.03
Ba2 0.0000 0.5000 0.0000  2 Cl 3.03
Ba3 0.5000 0.0000 0.0000  2 Cl 3.03
Tl1 0.5000 0.5000 0.5000  12 Ba 4.29
Cl1 0.0000 0.0000 0.0000  6 Ba 3.03

First-principles (PBE-GGA) data for crystalline TaCr3Ag at its relaxed geometry, as listed in Alexandria.

Calculated values
Its symmetry is Pm-3m. The formation energy is 1851 meV per atom. The calculation puts the uncorrected energy at -34.32 eV for the cell shown. The value obtained for the offset from the most stable computed form is 0 meV per atom. As for the crystal system: cubic.

Cell lengths 4.5247, 4.5247, 4.5247 Å; angles 90.00, 90.00, 90.00 degrees
Last column: nearest neighbours and their distance in Å.
Sites, in units of the cell vectors:
Ta1 0.0000 0.0000 0.0000  6 Cr 2.26
Cr1 0.0000 0.0000 0.5000  2 Ta 2.26
Cr2 0.0000 0.5000 0.0000  2 Ta 2.26
Cr3 0.5000 0.0000 0.0000  2 Ta 2.26
Ag1 0.5000 0.5000 0.5000  12 Cr 3.20

First-principles (PBE-GGA) data for crystalline Hf2IrS at its relaxed geometry, as listed in Alexandria.

Calculated values
Its symmetry is R-3m. The calculation puts the uncorrected energy at -33.96 eV for the cell shown. The value obtained for the formation energy without anion corrections is -0.266 eV per atom. As for the crystal system: trigonal.

Cell lengths 9.0744, 9.0744, 9.0744 Å; angles 19.75, 19.75, 19.75 degrees
Last column: nearest neighbours and their distance in Å.
Sites, in units of the cell vectors:
Hf1 0.0948 0.0948 0.0948  1 Ir 2.53, 3 S 2.63
Hf2 0.9052 0.9052 0.9052  1 Ir 2.53, 3 S 2.63
Ir1 0.0000 0.0000 0.0000  2 Hf 2.53
S1 0.5000 0.5000 0.5000  6 Hf 2.63

First-principles (PBE-GGA) data for crystalline ZrRe2Te at its relaxed geometry, as listed in Alexandria.

Calculated values
Its symmetry is I-42d. The calculation puts the uncorrected energy at -68.42 eV for the cell shown. The value obtained for the formation energy without anion corrections is 0.594 eV per atom. As for the crystal system: tetragonal.

Cell lengths 10.7193, 10.7193, 10.7193 Å; angles 158.69, 158.69, 30.32 degrees
Last column: nearest neighbours and their distance in Å.
Sites, in units of the cell vectors:
Zr1 0.0000 0.0000 0.0000  4 Te 2.80, 4 Re 3.04
Zr2 0.7500 0.2500 0.5000  4 Te 2.80, 4 Re 3.04
Re1 0.1881 0.6250 0.0631  2 Re 2.47
Re2 0.3750 0.4381 0.5631  2 Re 2.47
Re3 0.5619 0.1250 0.9369  2 Re 2.47
Re4 0.8750 0.8119 0.4369  2 Re 2.47
Te1 0.2500 0.7500 0.5000  4 Zr 2.80, 4 Re 2.87
Te2 0.5000 0.5000 0.0000  4 Zr 2.80, 4 Re 2.87

First-principles (PBE-GGA) data for crystalline Tb4Sn3O at its relaxed geometry, as listed in Alexandria.

Calculated values
Its symmetry is Pmn2_1. The calculation puts the uncorrected energy at -87.05 eV for the cell shown. The value obtained for the formation energy without anion corrections is -1.005 eV per atom. As for the crystal system: orthorhombic.

Cell lengths 7.8266, 9.5865, 6.2838 Å; angles 90.00, 90.00, 90.00 degrees
Last column: nearest neighbours and their distance in Å.
Sites, in units of the cell vectors:
Tb1 0.0000 0.0422 0.0000  1 O 2.44
Tb2 0.0000 0.7893 0.4269  1 O 2.29
Tb3 0.2416 0.6776 0.9851  1 O 2.24
Tb4 0.2584 0.3224 0.4851  1 O 2.24
Tb5 0.5000 0.2107 0.9269  1 O 2.29
Tb6 0.5000 0.9578 0.5000  1 O 2.44
Tb7 0.7416 0.3224 0.4851  1 O 2.24
Tb8 0.7584 0.6776 0.9851  1 O 2.24
Sn1 0.0000 0.0859 0.5082  5 Tb 2.89-3.22
Sn2 0.1783 0.3571 0.9920  1 Sn 2.79, 2 Tb 2.91-3.11
Sn3 0.3217 0.6429 0.4920  1 Sn 2.79, 2 Tb 2.91-3.11
Sn4 0.5000 0.9141 0.0082  5 Tb 2.89-3.22
Sn5 0.6783 0.6429 0.4920  1 Sn 2.79, 2 Tb 2.91-3.11
Sn6 0.8217 0.3571 0.9920  1 Sn 2.79, 2 Tb 2.91-3.11
O1 0.0000 0.7910 0.0630  4 Tb 2.24-2.44
O2 0.5000 0.2090 0.5630  4 Tb 2.24-2.44